Arrangement a

Below is a relaxed PtCSeBr2 crystal, with properties calculated at the GGA-PBE level.

Structure (CIF):
```
data_PtCSeBr2
_symmetry_space_group_name_H-M 'P 4/m m m'
_symmetry_Int_Tables_number 123
_symmetry_space_group_name_Hall '-P 4 2'
_cell_length_a 4.665
_cell_length_b 4.665
_cell_length_c 4.320
_cell_angle_alpha 90.00
_cell_angle_beta 90.00
_cell_angle_gamma 90.00
loop_
_atom_site_label
_atom_site_type_symbol
_atom_site_fract_x
_atom_site_fract_y
_atom_site_fract_z
Pt1 Pt 0.000 0.000 0.000
C1 C 0.500 0.500 0.500
Se1 Se 0.500 0.500 0.000
Br1 Br 0.000 0.500 0.500
```

=====

Arrangement b

Below is a relaxed PtCSeBr2 crystal, with properties calculated at the GGA-PBE level.

Structure (CIF):
```
data_PtCSeBr2
_symmetry_space_group_name_H-M 'P 4/m m m'
_symmetry_Int_Tables_number 123
_symmetry_space_group_name_Hall '-P 4 2'
_cell_length_a 5.231
_cell_length_b 5.231
_cell_length_c 4.828
_cell_angle_alpha 90.00
_cell_angle_beta 90.00
_cell_angle_gamma 90.00
loop_
_atom_site_label
_atom_site_type_symbol
_atom_site_fract_x
_atom_site_fract_y
_atom_site_fract_z
Pt1 Pt 0.000 0.000 0.000
C1 C 0.500 0.500 0.500
Se1 Se 0.000 0.000 0.500
Br1 Br 0.000 0.500 0.000
```

=====

Q: Which of them is the least stable? A: arrangement b.